No. 1
DFT (GGA-PBE) results for crystalline Ca2Mg2Hg at its relaxed geometry.

SG: No. 127
E (eV per atom): -1.637
Energy above the lowest structure with this stoichiometry (meV per atom): 0
Energy relative to the elements (eV/atom): -0.14

Lattice parameters (Å, degrees): 7.6140 7.6140 5.0754 90.00 90.00 90.00
Positions (direct):
Ca1 0.1729 0.3271 0.0000
Ca2 0.3271 0.8271 0.0000
Ca3 0.6729 0.1729 0.0000
Ca4 0.8271 0.6729 0.0000
Mg1 0.1364 0.6364 0.5000
Mg2 0.3636 0.1364 0.5000
Mg3 0.6364 0.8636 0.5000
Mg4 0.8636 0.3636 0.5000
Hg1 0.0000 0.0000 0.5000
Hg2 0.5000 0.5000 0.5000



No. 2
DFT (GGA-PBE) results for crystalline Pr2HoP at its relaxed geometry.

SG: No. 166
E (eV per atom): -5.474
Energy relative to the elements (eV/atom): -0.59

Lattice parameters (Å, degrees): 9.8137 9.8137 9.8137 23.22 23.22 23.22
Positions (direct):
Pr1 0.2271 0.2271 0.2271
Pr2 0.7729 0.7729 0.7729
Ho1 0.0000 0.0000 0.0000
P1 0.5000 0.5000 0.5000



> Which of these has the lowest energy relative to the elements?

Pr2HoP



> Which of these has the highest energy relative to the elements?

Ca2Mg2Hg



> Among the records above, which one has the lowest energy relative to the elements?

Pr2HoP



> Which formula does entry 1 have?

Ca2Mg2Hg